This record from Alexandria describes crystalline Y3TmIr at its relaxed geometry. The functional is PBE-GGA.

a = 6.157 Å, b = 6.512 Å, c = 7.651 Å
α = 90.00°, β = 90.00°, γ = 90.00°
Element x y z (fractional)
Tm (0.428, 0.331, 0.701)
Tm (0.928, 0.022, 0.201)
Y (0.925, 0.487, 0.951)
Y (0.923, 0.022, 0.701)
Y (0.425, 0.866, 0.451)
Y (0.425, 0.866, 0.951)
Y (0.925, 0.487, 0.451)
Y (0.423, 0.331, 0.201)
Ir (0.177, 0.673, 0.701)
Ir (0.677, 0.680, 0.201)

Results
The symmetry is No. 31. The energy relative to the elements comes out at -32 kJ/mol of atoms.

---

This record from Alexandria describes crystalline RbNbSb3 at its relaxed geometry. The functional is PBE-GGA.

a = 5.480 Å, b = 5.480 Å, c = 5.480 Å
α = 90.00°, β = 90.00°, γ = 90.00°
Element x y z (fractional)
Sb (0.500, 0.000, 0.000)
Sb (0.000, 0.500, 0.000)
Sb (0.000, 0.000, 0.500)
Rb (0.500, 0.500, 0.500)
Nb (0.000, 0.000, 0.000)

Results
The symmetry is No. 221. The calculation puts the uncorrected formation energy at -0.03 eV per atom. As for the energy above the most stable polymorph in this dataset: 0.00 kJ/mol of atoms.

---

This record from Alexandria describes crystalline La3Pr3Zn2Hg at its relaxed geometry. The functional is PBE-GGA.

a = 3.862 Å, b = 8.996 Å, c = 8.996 Å
α = 120.00°, β = 90.00°, γ = 90.00°
Element x y z (fractional)
Zn (0.500, 0.333, 0.667)
Zn (0.500, 0.667, 0.333)
Pr (0.500, 0.712, 0.000)
Pr (0.500, 0.288, 0.288)
Pr (0.500, 0.000, 0.712)
La (0.000, 0.000, 0.386)
La (0.000, 0.614, 0.614)
La (0.000, 0.386, 0.000)
Hg (0.000, 0.000, 0.000)

Results
The symmetry is No. 189. The energy relative to the elements comes out at -18 kJ/mol of atoms.

---

This record from Alexandria describes crystalline PaHgPt2 at its relaxed geometry. The functional is PBE-GGA.

a = 3.766 Å, b = 3.766 Å, c = 9.200 Å
α = 78.19°, β = 78.19°, γ = 60.00°
Element x y z (fractional)
Pa (0.500, 0.500, 0.500)
Hg (0.000, 0.000, 0.000)
Pt (0.897, 0.897, 0.310)
Pt (0.103, 0.103, 0.690)

Results
The symmetry is No. 166. The energy relative to the elements comes out at -46 kJ/mol of atoms. As for the energy above the most stable polymorph in this dataset: 19.68 kJ/mol of atoms.

---

This record from Alexandria describes crystalline YTm3Ir2 at its relaxed geometry. The functional is PBE-GGA.

a = 4.543 Å, b = 7.197 Å, c = 8.702 Å
α = 90.00°, β = 90.00°, γ = 90.00°
Element x y z (fractional)
Tm (0.500, 0.643, 0.171)
Tm (0.000, 0.489, 0.913)
Tm (0.000, 0.858, 0.674)
Tm (0.500, 0.143, 0.829)
Tm (0.000, 0.358, 0.326)
Tm (0.000, 0.989, 0.087)
Ir (0.000, 0.753, 0.345)
Ir (0.000, 0.253, 0.655)
Ir (0.500, 0.746, 0.848)
Ir (0.500, 0.246, 0.152)
Y (0.500, 0.011, 0.415)
Y (0.500, 0.511, 0.585)

Results
The symmetry is No. 26. The energy relative to the elements comes out at -74 kJ/mol of atoms. As for the energy above the most stable polymorph in this dataset: 0.00 kJ/mol of atoms.

---

This record from Alexandria describes crystalline BaSr3Ir at its relaxed geometry. The functional is PBE-GGA.

a = 4.925 Å, b = 4.925 Å, c = 25.362 Å
α = 90.00°, β = 90.00°, γ = 120.00°
Element x y z (fractional)
Ir (0.333, 0.667, 0.750)
Ir (0.667, 0.333, 0.250)
Sr (0.333, 0.667, 0.637)
Sr (0.000, 0.000, 0.750)
Sr (0.667, 0.333, 0.137)
Sr (0.333, 0.667, 0.863)
Sr (0.667, 0.333, 0.363)
Sr (0.000, 0.000, 0.250)
Ba (0.000, 0.000, 0.500)
Ba (0.000, 0.000, 0.000)

Results
The symmetry is No. 194. The energy relative to the elements comes out at 18 kJ/mol of atoms. As for the energy above the most stable polymorph in this dataset: 34.22 kJ/mol of atoms.

---

This record from Alexandria describes crystalline Nd2IrRu at its relaxed geometry. The functional is PBE-GGA.

a = 3.571 Å, b = 4.967 Å, c = 4.967 Å
α = 90.00°, β = 90.00°, γ = 90.00°
Element x y z (fractional)
Nd (0.000, 0.000, 0.500)
Nd (0.000, 0.500, 0.000)
Ru (0.500, 0.000, 0.000)
Ir (0.500, 0.500, 0.500)

Results
The symmetry is No. 123. The energy relative to the elements comes out at -30 kJ/mol of atoms.

---

This record from Alexandria describes crystalline Er4Tl2PS at its relaxed geometry. The functional is PBE-GGA.

a = 3.840 Å, b = 6.629 Å, c = 8.173 Å
α = 105.80°, β = 90.00°, γ = 90.00°
Element x y z (fractional)
Tl (0.000, 0.500, 0.500)
Tl (0.500, 0.000, 0.500)
S (0.000, 0.000, 0.000)
Er (0.500, 0.237, 0.203)
Er (0.000, 0.732, 0.202)
Er (0.000, 0.268, 0.798)
Er (0.500, 0.763, 0.797)
P (0.500, 0.500, 0.000)

Results
The symmetry is No. 10. The calculation puts the uncorrected formation energy at -1.07 eV per atom.

---

This record from Alexandria describes crystalline CoOsBr at its relaxed geometry. The functional is PBE-GGA.

a = 2.955 Å, b = 2.955 Å, c = 6.051 Å
α = 90.00°, β = 90.00°, γ = 120.00°
Each line ends with the local moment (μB).
Element x y z (fractional)
Br (0.000, 0.000, 0.017)  0.00
Co (0.667, 0.333, 0.341)  1.21
Os (0.333, 0.667, 0.642)  0.08

Results
The symmetry is No. 156. The calculation puts the uncorrected formation energy at 0.89 eV per atom. As for the energy above the most stable polymorph in this dataset: 56.03 kJ/mol of atoms.

---

This record from Alexandria describes crystalline CrAgCl2 at its relaxed geometry. The functional is PBE-GGA.

a = 4.795 Å, b = 4.795 Å, c = 4.795 Å
α = 60.00°, β = 60.00°, γ = 60.00°
Each line ends with the local moment (μB).
Element x y z (fractional)
Cl (0.750, 0.750, 0.750)  0.02
Cl (0.250, 0.250, 0.250)  0.02
Ag (0.500, 0.500, 0.500)  0.06
Cr (0.000, 0.000, 0.000)  4.22

Results
The symmetry is No. 225. The calculation puts the uncorrected formation energy at -0.09 eV per atom. As for the energy above the most stable polymorph in this dataset: 29.04 kJ/mol of atoms.

---

This record from Alexandria describes crystalline Li4TcRh at its relaxed geometry. The functional is PBE-GGA.

a = 4.753 Å, b = 4.753 Å, c = 4.753 Å
α = 60.00°, β = 60.00°, γ = 60.00°
Each line ends with the local moment (μB).
Element x y z (fractional)
Rh (0.750, 0.750, 0.750)  0.47
Li (0.873, 0.376, 0.376)  -0.01
Li (0.376, 0.376, 0.376)  -0.01
Li (0.376, 0.376, 0.873)  -0.01
Li (0.376, 0.873, 0.376)  -0.01
Tc (0.000, 0.000, 0.000)  1.56

Results
The symmetry is No. 216. The energy relative to the elements comes out at 28 kJ/mol of atoms.

---

This record from Alexandria describes crystalline USnW at its relaxed geometry. The functional is PBE-GGA.

a = 4.740 Å, b = 4.740 Å, c = 7.896 Å
α = 72.53°, β = 72.53°, γ = 60.00°
Each line ends with the local moment (μB).
Element x y z (fractional)
Sn (0.879, 0.879, 0.364)  0.00
Sn (0.121, 0.121, 0.636)  0.00
U (0.372, 0.372, 0.883)  1.58
U (0.628, 0.628, 0.117)  1.58
W (0.748, 0.748, 0.757)  -0.15
W (0.252, 0.252, 0.243)  -0.15

Results
The symmetry is No. 166. The energy relative to the elements comes out at 65 kJ/mol of atoms.

---

no.,V (Å³ per atom)
1,30.674
2,32.913
3,30.073
4,27.452
5,23.710
6,53.274
7,22.023
8,25.026
9,15.250
10,19.495
11,12.655
12,24.016